[1]
A relaxed In2SnBi crystal, computed with PBE.

```
4
Lattice="0.000 3.847 3.847 3.847 0.000 3.847 3.847 3.847 0.000" Properties=species:S:1:pos:R:3 pbc="T T T"
In 1.923 1.923 1.923
In 5.770 5.770 5.770
Sn 0.000 0.000 0.000
Bi 3.847 3.847 3.847
```

Output
VASP energy = -3.26 eV per atom
distance to the lowest polymorph of the same formula = 40 meV per atom
V = 114 Å³ per cell
calculated formation energy = 0.30 eV/f.u.

=====

[2]
A relaxed InSn4Bi crystal, computed with PBE.

```
12
Lattice="4.667 -7.668 0.000 4.667 7.668 0.000 -2.291 0.000 4.913" Properties=species:S:1:pos:R:3 pbc="T T T"
In 0.308 0.000 1.558
In 6.736 0.000 3.355
Sn 0.430 2.675 3.363
Sn 4.667 4.564 0.000
Sn 3.134 0.000 0.097
Sn 0.430 -2.675 3.363
Sn 6.613 2.675 1.550
Sn 3.910 0.000 4.816
Sn 4.667 -4.564 0.000
Sn 6.613 -2.675 1.550
Bi 3.522 2.060 2.457
Bi 3.522 -2.060 2.457
```

Output
VASP energy = -3.69 eV per atom
distance to the lowest polymorph of the same formula = 14 meV per atom
V = 352 Å³ per cell
calculated formation energy = 0.47 eV/f.u.

=====

[3]
A relaxed SrInSn2Bi crystal, computed with PBE.

```
5
Lattice="5.989 0.000 0.000 0.000 5.989 0.000 0.000 0.000 5.972" Properties=species:S:1:pos:R:3 pbc="T T T"
Sr 0.000 0.000 0.000
In 0.000 0.000 2.986
Sn 0.000 2.995 0.000
Sn 2.995 0.000 0.000
Bi 2.995 2.995 2.986
```

Output
VASP energy = -2.46 eV per atom
V = 214 Å³ per cell
calculated formation energy = 4.01 eV/f.u.

=====

[4]
A relaxed SrIn2SnBi crystal, computed with PBE.

```
10
Lattice="2.328 -6.530 0.000 2.328 6.530 0.000 0.000 0.000 10.575" Properties=species:S:1:pos:R:3 pbc="T T T"
Sr 2.328 5.812 7.931
Sr 2.328 -5.812 2.644
In 2.328 2.954 0.936
In 2.328 2.954 4.352
In 2.328 -2.954 6.223
In 2.328 -2.954 9.639
Sn 2.328 0.000 0.000
Sn 2.328 0.000 5.287
Bi 2.328 2.027 7.931
Bi 2.328 -2.027 2.644
```

Output
VASP energy = -3.23 eV per atom
V = 322 Å³ per cell
calculated formation energy = -1.11 eV/f.u.

=====

[5]
A relaxed In6SnBiTe2 crystal, computed with PBE.

```
20
Lattice="8.085 0.000 0.000 0.000 8.405 0.000 -7.424 0.000 10.142" Properties=species:S:1:pos:R:3 pbc="T T T"
In -1.261 1.049 2.509
In -4.973 3.153 7.580
In 1.782 6.121 1.084
In -1.930 6.486 6.155
In 2.528 1.529 0.365
In -1.184 2.673 5.436
In 1.845 5.732 4.706
In -1.868 6.876 9.777
In 2.591 1.919 3.987
In -1.121 2.284 9.058
In 5.633 5.252 2.562
In 1.921 7.356 7.633
Sn 0.000 0.000 0.000
Sn -3.712 4.203 5.071
Bi 0.330 0.000 5.071
Bi 4.043 4.203 0.000
Te -3.391 0.337 7.859
Te 0.321 3.866 2.788
Te 0.339 4.539 7.354
Te 4.052 8.068 2.283
```

Output
VASP energy = -3.08 eV per atom
formation energy from raw total energies = -22 meV per atom
V = 689 Å³ per cell

=====

[6]
A relaxed Tl2In2SnBi2 crystal, computed with PBE.

```
7
Lattice="4.112 -2.328 0.000 4.112 2.328 0.000 -2.847 0.000 12.376" Properties=species:S:1:pos:R:3 pbc="T T T"
Tl 1.323 0.000 1.019
Tl 4.055 0.000 11.357
In 1.281 0.000 7.876
In 4.096 0.000 4.500
Sn -1.424 0.000 6.188
Bi -1.450 0.000 9.531
Bi 6.827 0.000 2.846
```

Output
VASP energy = -3.07 eV per atom
V = 237 Å³ per cell
calculated formation energy = 0.48 eV/f.u.

=====

[7]
A relaxed Tl2InSnBi2 crystal, computed with PBE.

```
12
Lattice="5.699 0.000 0.000 0.000 9.490 0.000 0.000 0.000 7.006" Properties=species:S:1:pos:R:3 pbc="T T T"
Tl 0.000 0.255 0.000
Tl 0.000 9.234 3.503
Tl 2.849 1.570 1.866
Tl 2.849 7.919 5.369
In 2.849 4.701 6.902
In 2.849 4.789 3.399
Sn 0.000 3.028 4.744
Sn 0.000 6.461 1.241
Bi 0.000 3.406 1.692
Bi 0.000 6.083 5.195
Bi 2.849 1.803 5.354
Bi 2.849 7.686 1.851
```

Output
VASP energy = -3.21 eV per atom
V = 379 Å³ per cell
calculated formation energy = -0.02 eV/f.u.

=====

[8]
A relaxed TlInSnBi crystal, computed with PBE.

```
4
Lattice="0.000 3.922 3.922 3.922 0.000 3.922 3.922 3.922 0.000" Properties=species:S:1:pos:R:3 pbc="T T T"
Tl 0.000 0.000 0.000
In 1.961 1.961 1.961
Sn 5.883 5.883 5.883
Bi 3.922 3.922 3.922
```

Output
VASP energy = -3.19 eV per atom
distance to the lowest polymorph of the same formula = 16 meV per atom
V = 121 Å³ per cell
calculated formation energy = 0.22 eV/f.u.

=====

[9]
A relaxed TlInSnBi crystal, computed with PBE.

```
4
Lattice="3.454 0.000 0.000 0.000 3.454 0.000 0.000 0.000 10.002" Properties=species:S:1:pos:R:3 pbc="T T T"
Tl 0.000 0.000 0.000
In 1.727 1.727 7.460
Sn 0.000 0.000 5.157
Bi 1.727 1.727 2.647
```

Output
VASP energy = -3.21 eV per atom
distance to the lowest polymorph of the same formula = 0 meV per atom
V = 119 Å³ per cell
calculated formation energy = 0.16 eV/f.u.

=====

[10]
A relaxed Tl2In4SnBi crystal, computed with PBE.

```
8
Lattice="5.047 0.000 0.000 0.000 5.186 0.000 -0.140 0.000 8.914" Properties=species:S:1:pos:R:3 pbc="T T T"
Tl 0.000 0.000 0.000
Tl 2.454 2.593 4.457
In -0.030 2.593 2.198
In 2.482 0.000 2.177
In 2.425 0.000 6.737
In 4.937 2.593 6.716
Sn 2.524 2.593 0.000
Bi -0.070 0.000 4.457
```

Output
VASP energy = -2.94 eV per atom
V = 233 Å³ per cell
calculated formation energy = 0.09 eV/f.u.

=====

[11]
A relaxed Tl2In2SnBi crystal, computed with PBE.

```
12
Lattice="4.856 0.000 0.000 0.000 10.458 0.000 0.000 0.000 7.063" Properties=species:S:1:pos:R:3 pbc="T T T"
Tl 0.000 1.654 0.000
Tl 0.000 8.804 3.532
Tl 2.428 3.521 5.500
Tl 2.428 6.937 1.969
In 0.000 5.209 3.696
In 0.000 5.248 0.165
In 2.428 0.082 1.792
In 2.428 10.376 5.324
Sn 2.428 3.516 1.963
Sn 2.428 6.942 5.494
Bi 0.000 1.865 3.466
Bi 0.000 8.593 6.998
```

Output
VASP energy = -3.00 eV per atom
V = 359 Å³ per cell
calculated formation energy = 0.10 eV/f.u.

=====

[12]
A relaxed ZnInSnBi crystal, computed with PBE.

```
4
Lattice="0.000 3.767 3.767 3.767 0.000 3.767 3.767 3.767 0.000" Properties=species:S:1:pos:R:3 pbc="T T T"
Zn 0.000 0.000 0.000
In 5.650 5.650 5.650
Sn 3.767 3.767 3.767
Bi 1.883 1.883 1.883
```

Output
VASP energy = -2.81 eV per atom
V = 107 Å³ per cell
calculated formation energy = 0.66 eV/f.u.